1.
A plane-wave DFT calculation with PBE-GGA was carried out for NiOs8 after structural relaxation.

Results
calculated formation energy = 146 meV per atom

Cell lengths 8.1288, 8.1288, 3.8394 Å; angles 90.00, 90.00, 90.00 degrees
Closest atoms and distances in Å follow each position.
Space group I4/mmm (No. 139)
Inequivalent atoms, fractional coordinates:
Ni (0.0000, 0.0000, 0.0000) [2 per cell]  12 Os 2.72-2.73
Os (0.0000, 0.3355, 0.0000) [8 per cell]  11 Os 2.67-2.72, 1 Ni 2.73
Os (0.1670, 0.1670, 0.5000) [8 per cell]  10 Os 2.71-2.72, 2 Ni 2.72


2.
A plane-wave DFT calculation with PBE-GGA was carried out for InCSN2 after structural relaxation.

Results
ΔE_f (raw) = 196 kJ per mole of atoms

Cell lengths 3.7487, 3.7487, 3.9406 Å; angles 90.00, 90.00, 90.00 degrees
Closest atoms and distances in Å follow each position.
Space group P4/mmm (No. 123)
Inequivalent atoms, fractional coordinates:
In (0.0000, 0.0000, 0.0000) [1 per cell]  4 S 2.65, 8 N 2.72
C (0.5000, 0.5000, 0.5000) [1 per cell]  4 N 1.87, 2 S 1.97
S (0.5000, 0.5000, 0.0000) [1 per cell]  2 C 1.97
N (0.0000, 0.5000, 0.5000) [2 per cell]  2 C 1.87


3.
A plane-wave DFT calculation with PBE-GGA was carried out for K2Cd2InAg after structural relaxation.

Results
calculated formation energy = -46 meV per atom

Cell lengths 7.5854, 16.0209, 6.7474 Å; angles 90.00, 90.00, 90.00 degrees
Closest atoms and distances in Å follow each position.
Space group Ibam (No. 72)
Inequivalent atoms, fractional coordinates:
K (0.2344, 0.1693, 0.0000) [8 per cell]  4 Cd 3.59-3.82, 2 Ag 3.66, 2 In 3.78
Cd (0.2359, 0.0929, 0.5000) [8 per cell]  2 Ag 2.87, 2 In 3.01
In (0.0000, 0.5000, 0.2500) [4 per cell]  4 Cd 3.01
Ag (0.0000, 0.0000, 0.2500) [4 per cell]  4 Cd 2.87


4.
A plane-wave DFT calculation with PBE-GGA was carried out for BiPd3Cl after structural relaxation.

Results
ΔE_f (raw) = 27 kJ per mole of atoms

Cell lengths 4.6889, 4.6889, 4.6889 Å; angles 90.00, 90.00, 90.00 degrees
Closest atoms and distances in Å follow each position.
Space group Pm-3m (No. 221)
Inequivalent atoms, fractional coordinates:
Bi (0.0000, 0.0000, 0.0000) [1 per cell]  12 Pd 3.32
Pd (0.0000, 0.5000, 0.5000) [3 per cell]  2 Cl 2.34
Cl (0.5000, 0.5000, 0.5000) [1 per cell]  6 Pd 2.34


Number 1: total magnetic moment 0.000 μB per formula unit. Number 2: total magnetic moment 0.673 μB per formula unit. Number 3: total magnetic moment 0.000 μB per formula unit. Number 4: total magnetic moment 0.000 μB per formula unit.